# Er2InCu9 PBE-GGA optimized geometry
# Magnetic moment ... 0.0 μB/f.u.
# Formation enthalpy at 0 K ... -0.13 eV per atom
# Mass density ... 9183 kg/m3
data_Er2InCu9
_space_group_name_H-M_alt 'P 1'
_space_group_IT_number 1
_cell_length_a 5.084
_cell_length_b 5.084
_cell_length_c 8.756
_cell_angle_alpha 73.12
_cell_angle_beta 73.12
_cell_angle_gamma 60.00
loop_
_space_group_symop_operation_xyz
'x,y,z'
loop_
_atom_site_label
_atom_site_fract_x
_atom_site_fract_y
_atom_site_fract_z
_atom_site_occupancy
Er1 0.863 0.863 0.410 1
Er2 0.137 0.137 0.590 1
In1 0.000 0.000 0.000 1
Cu1 0.667 0.667 0.999 1
Cu2 0.333 0.333 0.001 1
Cu3 0.500 0.500 0.500 1
Cu4 0.416 0.416 0.248 1
Cu5 0.920 0.416 0.248 1
Cu6 0.416 0.920 0.248 1
Cu7 0.584 0.584 0.752 1
Cu8 0.584 0.080 0.752 1
Cu9 0.080 0.584 0.752 1

=====

# Au2Br4Cl PBE-GGA optimized geometry
# Magnetic moment ... 0.0 μB/f.u.
# E_form (uncorrected) ... -69 meV per atom
# Mass density ... 4604 kg/m3
data_Au2Br4Cl
_space_group_name_H-M_alt 'P 1'
_space_group_IT_number 1
_cell_length_a 7.407
_cell_length_b 7.434
_cell_length_c 13.610
_cell_angle_alpha 132.88
_cell_angle_beta 83.49
_cell_angle_gamma 88.55
loop_
_space_group_symop_operation_xyz
'x,y,z'
loop_
_atom_site_label
_atom_site_fract_x
_atom_site_fract_y
_atom_site_fract_z
_atom_site_occupancy
Au1 0.657 0.465 0.750 1
Au2 0.564 0.804 0.243 1
Au3 0.547 0.318 0.254 1
Au4 0.156 0.501 0.766 1
Br1 0.766 0.115 0.302 1
Br2 0.364 0.484 0.170 1
Br3 0.897 0.635 0.702 1
Br4 0.895 0.366 0.840 1
Br5 0.372 0.933 0.152 1
Br6 0.413 0.280 0.782 1
Br7 0.436 0.557 0.653 1
Br8 0.753 0.658 0.330 1
Cl1 0.272 0.629 0.523 1
Cl2 0.159 0.005 0.033 1

=====

# TiTe2SI PBE-GGA optimized geometry
# Magnetic moment ... 1.8 μB/f.u.
# Energy above the lowest structure with this stoichiometry ... 314.9 meV per atom
# E_form (uncorrected) ... 572 meV per atom
# Mass density ... 5121 kg/m3
data_TiTe2SI
_space_group_name_H-M_alt 'P 1'
_space_group_IT_number 1
_cell_length_a 5.214
_cell_length_b 5.214
_cell_length_c 5.511
_cell_angle_alpha 90.00
_cell_angle_beta 90.00
_cell_angle_gamma 90.00
loop_
_space_group_symop_operation_xyz
'x,y,z'
loop_
_atom_site_label
_atom_site_fract_x
_atom_site_fract_y
_atom_site_fract_z
_atom_site_occupancy
I1 0.000 0.000 0.500 1
S1 0.000 0.000 0.000 1
Te1 0.000 0.500 0.000 1
Te2 0.500 0.000 0.000 1
Ti1 0.500 0.500 0.500 1